No. 1
ReAs2BrN meta-GGA SCAN single point on PBEsol structure; total energy = -132.20 eV for the cell shown
1.0
4.166 0.000 0.000
0.000 4.166 0.000
0.000 0.000 4.315
Re As Br N
1 2 1 1
Direct
0.500 0.500 0.500
0.000 0.500 0.000
0.500 0.000 0.000
0.000 0.000 0.500
0.000 0.000 0.000


No. 2
YCu2As meta-GGA SCAN single point on PBEsol structure; energy of formation = -0.91 eV/f.u.
1.0
-3.163 0.688 0.237
-0.271 -0.136 -3.232
-1.307 -6.131 0.368
Y Cu As
1 2 1
Direct
0.000 0.000 0.492
0.000 0.000 0.014
0.500 0.500 0.193
0.500 0.500 0.801


No. 3
Cr2SiHg meta-GGA SCAN single point on PBEsol structure; total energy = -113.86 eV for the cell shown
1.0
-1.974 3.036 -2.415
-3.832 1.634 1.263
-0.250 4.101 1.437
Si Cr Hg
1 2 1
Direct
0.500 0.500 0.500
0.750 0.750 0.750
0.250 0.250 0.250
0.000 0.000 0.000


No. 4
Sc2PPb meta-GGA SCAN single point on PBEsol structure; energy of formation = -0.06 eV/f.u.; polymorph energy (0 for the lowest one) = 1136 meV per atom
1.0
-2.775 1.245 1.180
-2.592 0.348 -1.951
-4.868 -8.654 2.196
Pb Sc P
1 2 1
Direct
0.500 0.500 0.500
0.917 0.917 0.250
0.083 0.083 0.750
0.000 0.000 0.000


No. 5
SrAg2Pd2 meta-GGA SCAN single point on PBEsol structure; energy of formation = -1.07 eV/f.u.
1.0
-3.083 -1.640 2.401
2.905 -1.890 2.440
0.261 6.420 0.980
Ag Pd Sr
2 2 1
Direct
0.612 0.612 0.225
0.388 0.388 0.775
0.250 0.750 0.500
0.750 0.250 0.500
0.000 0.000 0.000


No. 6
La3Re2O10 meta-GGA SCAN single point on PBEsol structure; total energy = -376.24 eV for the cell shown
1.0
-2.317 -1.687 -4.725
4.862 0.490 -2.580
2.381 -6.563 -1.305
O La Re
10 3 2
Direct
0.329 0.329 0.473
0.872 0.395 0.787
0.128 0.605 0.213
0.649 0.649 0.096
0.351 0.351 0.904
0.907 0.907 0.717
0.395 0.872 0.787
0.671 0.671 0.527
0.093 0.093 0.283
0.605 0.128 0.213
0.000 0.000 0.000
0.257 0.743 0.500
0.743 0.257 0.500
0.365 0.365 0.176
0.635 0.635 0.824


No. 7
TcHgGe3 meta-GGA SCAN single point on PBEsol structure; energy of formation = 1.06 eV/f.u.; polymorph energy (0 for the lowest one) = 0 meV per atom
1.0
-3.542 0.222 -3.211
3.081 -1.147 -3.478
-0.931 -4.641 0.707
Ge Hg Tc
3 1 1
Direct
0.000 0.500 0.000
0.500 0.000 0.000
0.000 0.000 0.500
0.500 0.500 0.500
0.000 0.000 0.000


No. 8
YAuCl2 meta-GGA SCAN single point on PBEsol structure; polymorph energy (0 for the lowest one) = 251 meV per atom
1.0
3.203 0.000 0.000
0.000 3.203 0.000
0.000 0.000 8.888
Cl Y Au
2 1 1
Direct
0.000 0.000 0.176
0.000 0.000 0.824
0.500 0.500 0.000
0.500 0.500 0.500


No. 9
Br3Cl meta-GGA SCAN single point on PBEsol structure; total energy = -65.15 eV for the cell shown
1.0
-0.542 -3.710 1.083
-1.006 -0.920 -3.657
7.592 0.877 -0.227
Cl Br
1 3
Direct
0.500 0.500 0.000
0.250 0.750 0.500
0.000 0.000 0.000
0.750 0.250 0.500


No. 10
Ta2CdRh meta-GGA SCAN single point on PBEsol structure; energy of formation = -0.36 eV/f.u.
1.0
-2.242 1.559 0.806
-1.843 -0.780 -3.618
-2.397 -4.590 2.211
Ta Rh Cd
2 1 1
Direct
0.000 0.000 0.264
0.000 0.000 0.736
0.500 0.500 0.500
0.500 0.500 0.000


No. 11
ScAsH2Br meta-GGA SCAN single point on PBEsol structure; total energy = -59.85 eV for the cell shown
1.0
-0.270 -2.522 2.598
-2.400 -1.827 -2.023
5.238 -3.607 -2.958
Br Sc H As
1 1 2 1
Direct
0.000 0.000 0.500
0.500 0.500 0.500
0.000 0.500 0.000
0.500 0.000 0.000
0.000 0.000 0.000


No. 12
CaTlSb2I meta-GGA SCAN single point on PBEsol structure; total energy = -192.56 eV for the cell shown
1.0
5.548 0.000 0.000
0.000 5.548 0.000
0.000 0.000 6.150
I Sb Tl Ca
1 2 1 1
Direct
0.000 0.000 0.500
0.500 0.000 0.000
0.000 0.500 0.000
0.000 0.000 0.000
0.500 0.500 0.500


No. 13
Al2FeTc meta-GGA SCAN single point on PBEsol structure; energy of formation = -1.28 eV/f.u.; polymorph energy (0 for the lowest one) = 32 meV per atom
1.0
-0.314 -1.641 2.361
-1.010 -2.161 -1.637
5.599 -2.084 -0.704
Al Tc Fe
2 1 1
Direct
0.000 0.000 0.774
0.000 0.000 0.226
0.500 0.500 0.500
0.500 0.500 0.000


No. 14
MnPO4 meta-GGA SCAN single point on PBEsol structure; total energy = -268.92 eV for the cell shown
1.0
4.739 0.000 0.000
0.000 8.257 -0.027
0.000 -3.097 8.444
O Mn P
16 4 4
Direct
0.394 0.107 0.702
0.279 0.606 0.986
0.299 0.708 0.314
0.788 0.232 0.204
0.245 0.341 0.127
0.301 0.402 0.686
0.801 0.598 0.314
0.894 0.893 0.298
0.779 0.394 0.014
0.745 0.659 0.873
0.288 0.768 0.796
0.799 0.292 0.686
0.989 0.832 0.551
0.486 0.909 0.068
0.986 0.091 0.932
0.489 0.168 0.449
0.001 0.471 0.830
0.501 0.529 0.170
0.146 0.955 0.743
0.646 0.045 0.257
0.493 0.243 0.632
0.455 0.737 0.929
0.993 0.757 0.368
0.955 0.263 0.071


No. 15
BeAgRh2 meta-GGA SCAN single point on PBEsol structure; energy of formation = -0.78 eV/f.u.
1.0
-1.052 1.613 -1.963
-2.539 -0.748 0.746
-0.236 5.126 4.339
Ag Rh Be
1 2 1
Direct
0.500 0.500 0.000
0.000 0.000 0.699
0.000 0.000 0.301
0.500 0.500 0.500


No. 16
Fe2BiIr2 meta-GGA SCAN single point on PBEsol structure; energy of formation = 1.27 eV/f.u.
1.0
-3.627 0.852 -0.778
-1.136 -3.085 1.918
2.074 4.264 4.308
Bi Fe Ir
1 2 2
Direct
0.000 0.000 0.000
0.750 0.250 0.500
0.250 0.750 0.500
0.384 0.384 0.767
0.616 0.616 0.233


No. 17
TaPt2 meta-GGA SCAN single point on PBEsol structure; energy of formation = -1.82 eV/f.u.
1.0
-1.060 1.991 -1.523
-2.845 1.011 3.303
4.005 1.988 -0.190
Pt Ta
2 1
Direct
0.000 0.333 0.667
0.000 0.667 0.333
0.500 0.000 0.000


No. 18
CdHg meta-GGA SCAN single point on PBEsol structure; energy of formation = 0.07 eV/f.u.
1.0
3.079 -0.403 0.000
-1.430 2.757 0.000
0.000 0.000 11.230
Hg Cd
2 2
Direct
0.250 0.750 0.628
0.750 0.250 0.372
0.250 0.750 0.123
0.750 0.250 0.877


No. 19
Li3CaSc meta-GGA SCAN single point on PBEsol structure; energy of formation = 3.32 eV/f.u.
1.0
-1.312 2.854 -4.221
2.074 -3.682 -3.134
-4.654 -2.446 -0.206
Li Ca Sc
3 1 1
Direct
0.000 0.000 0.500
0.500 0.000 0.000
0.000 0.500 0.000
0.500 0.500 0.500
0.000 0.000 0.000


No. 20
YP5O14 meta-GGA SCAN single point on PBEsol structure; total energy = -877.62 eV for the cell shown
1.0
9.111 0.003 -0.001
0.078 9.111 -0.001
0.235 0.233 12.459
O P Y
56 20 4
Direct
0.222 0.391 0.027
0.983 0.504 0.863
0.965 0.153 0.867
0.175 0.656 0.024
0.710 0.104 0.944
0.200 0.105 0.180
0.352 0.425 0.387
0.896 0.290 0.556
0.035 0.847 0.133
0.923 0.125 0.074
0.656 0.175 0.524
0.023 0.721 0.732
0.895 0.800 0.320
0.539 0.232 0.284
0.461 0.768 0.716
0.875 0.077 0.426
0.575 0.648 0.113
0.279 0.977 0.768
0.077 0.875 0.926
0.350 0.149 0.008
0.018 0.470 0.663
0.105 0.200 0.680
0.977 0.279 0.268
0.721 0.023 0.232
0.282 0.539 0.195
0.504 0.983 0.363
0.125 0.923 0.574
0.982 0.530 0.337
0.539 0.282 0.695
0.514 0.642 0.911
0.825 0.344 0.976
0.847 0.035 0.633
0.290 0.896 0.056
0.718 0.461 0.805
0.461 0.718 0.305
0.778 0.609 0.973
0.768 0.461 0.216
0.609 0.778 0.473
0.391 0.222 0.527
0.149 0.350 0.508
0.017 0.496 0.137
0.470 0.018 0.163
0.642 0.514 0.411
0.800 0.895 0.820
0.358 0.486 0.589
0.153 0.965 0.367
0.851 0.650 0.492
0.496 0.017 0.637
0.104 0.710 0.444
0.650 0.851 0.992
0.530 0.982 0.837
0.486 0.358 0.089
0.648 0.575 0.613
0.425 0.352 0.887
0.344 0.825 0.476
0.232 0.539 0.784
0.874 0.173 0.966
0.682 0.952 0.890
0.521 0.182 0.605
0.048 0.318 0.610
0.614 0.677 0.000
0.173 0.874 0.466
0.571 0.076 0.260
0.818 0.479 0.895
0.924 0.429 0.240
0.429 0.924 0.740
0.386 0.323 0.000
0.318 0.048 0.110
0.323 0.386 0.500
0.827 0.126 0.534
0.182 0.521 0.105
0.952 0.682 0.390
0.076 0.571 0.760
0.126 0.827 0.034
0.479 0.818 0.395
0.677 0.614 0.500
0.033 0.967 0.750
0.520 0.480 0.250
0.480 0.520 0.750
0.967 0.033 0.250